# 1
Below is a relaxed structure of GdGa4Bi, with properties calculated at the GGA-PBE level.

Geometry as extended XYZ:
```
6
Lattice="0.000 4.015 4.015 4.015 0.000 4.015 4.015 4.015 0.000" Properties=species:S:1:pos:R:3 pbc="T T T"
Gd 0.000 0.000 0.000
Ga 5.020 3.010 3.010
Ga 3.010 5.020 3.010
Ga 3.010 3.010 5.020
Ga 5.020 5.020 5.020
Bi 2.008 2.008 2.008
```

Output
* total magnetic moment: 7.36 μB per cell
* V: 129.5 Å³/f.u.
* formation energy: -0.24 eV per atom
* symmetry: F-43m (216)

---

# 2
Below is a relaxed structure of Sr3In7Pd2, with properties calculated at the GGA-PBE level.

Geometry as extended XYZ:
```
12
Lattice="2.399 -15.686 0.000 2.399 15.686 0.000 0.000 0.000 4.396" Properties=species:S:1:pos:R:3 pbc="T T T"
Sr 0.000 0.000 0.000
Sr 2.399 10.167 0.000
Sr 2.399 -10.167 0.000
In 2.399 12.964 2.198
In 2.399 7.024 2.198
In 2.399 2.623 0.000
In 2.399 0.000 2.198
In 2.399 -2.623 0.000
In 2.399 -7.024 2.198
In 2.399 -12.964 2.198
Pd 2.399 4.332 2.198
Pd 2.399 -4.332 2.198
```

Output
* total magnetic moment: 0.00 μB per cell
* V: 330.8 Å³/f.u.
* formation energy: -0.43 eV per atom
* symmetry: Cmmm (65)

---

# 3
Below is a relaxed structure of HoPu2Au4, with properties calculated at the GGA-PBE level.

Geometry as extended XYZ:
```
7
Lattice="-2.498 2.498 6.995 2.498 -2.498 6.995 2.498 2.498 -6.995" Properties=species:S:1:pos:R:3 pbc="T T T"
Ho 0.000 0.000 0.000
Pu 0.000 0.000 3.671
Pu 0.000 0.000 10.319
Au 2.498 0.000 1.577
Au 2.498 0.000 5.417
Au 0.000 2.498 1.577
Au 0.000 2.498 5.417
```

Output
* total magnetic moment: 12.09 μB per cell
* V: 174.6 Å³/f.u.
* formation energy: -0.42 eV per atom
* symmetry: I4/mmm (139)

---

# 4
Below is a relaxed structure of MgPI, with properties calculated at the GGA-PBE level.

Geometry as extended XYZ:
```
6
Lattice="4.643 0.000 0.000 0.000 6.189 0.000 0.002 3.054 7.137" Properties=species:S:1:pos:R:3 pbc="T T T"
Mg 0.002 1.575 1.468
Mg 4.643 7.668 5.669
P 2.323 1.540 2.551
P 2.321 7.703 4.587
I 0.008 4.643 1.336
I 4.637 4.600 5.801
```

Output
* total magnetic moment: 0.00 μB per cell
* V: 102.5 Å³/f.u.
* energy relative to the elements, uncorrected: -0.485 eV per atom
* symmetry: P-1 (2)

---

# 5
Below is a relaxed structure of Na3GeCl6, with properties calculated at the GGA-PBE level.

Geometry as extended XYZ:
```
20
Lattice="6.768 0.000 0.000 0.000 7.196 0.000 -6.760 0.000 10.047" Properties=species:S:1:pos:R:3 pbc="T T T"
Na 0.000 0.000 0.000
Na -3.380 3.598 5.024
Na -3.593 0.599 7.468
Na -0.213 2.999 2.445
Na 0.221 4.197 7.603
Na 3.601 6.597 2.579
Ge 0.004 0.000 5.024
Ge 3.384 3.598 0.000
Cl -2.011 1.292 4.378
Cl -5.391 2.306 9.401
Cl -1.137 5.098 4.257
Cl -4.517 5.696 9.281
Cl 0.925 0.397 2.717
Cl -2.455 3.201 7.741
Cl 2.463 3.995 2.307
Cl -0.917 6.799 7.331
Cl 4.525 1.500 0.767
Cl 1.145 2.098 5.790
Cl 5.399 4.890 0.646
Cl 2.019 5.905 5.670
```

Output
* total magnetic moment: 1.58 μB per cell
* V: 244.7 Å³/f.u.
* energy relative to the elements, uncorrected: -1.331 eV per atom
* symmetry: P2_1/c (14)

---

# 6
Below is a relaxed structure of Na2AgPt, with properties calculated at the GGA-PBE level.

Geometry as extended XYZ:
```
8
Lattice="-3.974 3.974 2.743 3.974 -3.974 2.743 3.974 3.974 -2.743" Properties=species:S:1:pos:R:3 pbc="T T T"
Na 5.961 1.914 -0.686
Na 1.914 1.987 0.686
Na -1.987 2.061 2.057
Na 2.061 1.987 3.429
Ag 3.974 0.000 1.372
Ag 0.000 0.000 2.743
Pt 0.000 0.000 0.000
Pt 0.000 3.974 1.372
```

Output
* total magnetic moment: 0.00 μB per cell
* distance to the lowest polymorph of the same formula: 235 meV per atom
* V: 86.7 Å³/f.u.
* formation energy: 0.13 eV per atom
* symmetry: I-42d (122)